P) A geometry-optimized Co3PdW structure, computed with GGA-PBE.

Calculated values
space-group type = Pm-3m

Geometry as extended XYZ:
```
5
Lattice="4.399 0.000 0.000 0.000 4.399 0.000 0.000 0.000 4.399" Properties=species:S:1:pos:R:3 pbc="T T T"
Co 0.000 0.000 2.200
Co 0.000 2.200 0.000
Co 2.200 0.000 0.000
Pd 2.200 2.200 2.200
W 0.000 0.000 0.000
```



Q) A geometry-optimized Co3PdW structure, computed with GGA-PBE.

Calculated values
space-group type = Pm-3m

Geometry as extended XYZ:
```
5
Lattice="4.423 0.000 0.000 0.000 4.423 0.000 0.000 0.000 4.423" Properties=species:S:1:pos:R:3 pbc="T T T"
Co 0.000 0.000 2.211
Co 0.000 2.211 0.000
Co 2.211 0.000 0.000
Pd 0.000 0.000 0.000
W 2.211 2.211 2.211
```



Least stable: Q)



P) A geometry-optimized CoPdW2 structure, computed with GGA-PBE.

Calculated values
space-group type = Fm-3m

Geometry as extended XYZ:
```
4
Lattice="0.000 3.093 3.093 3.093 0.000 3.093 3.093 3.093 0.000" Properties=species:S:1:pos:R:3 pbc="T T T"
Co 0.000 0.000 0.000
Pd 3.093 3.093 3.093
W 1.547 1.547 1.547
W 4.640 4.640 4.640
```



Q) A geometry-optimized CoPdW2 structure, computed with GGA-PBE.

Calculated values
space-group type = I-42d

Geometry as extended XYZ:
```
8
Lattice="-1.880 1.880 8.984 1.880 -1.880 8.984 1.880 1.880 -8.984" Properties=species:S:1:pos:R:3 pbc="T T T"
Co 0.000 0.000 0.000
Co 0.000 1.880 4.492
Pd 1.880 0.000 4.492
Pd 0.000 0.000 8.984
W 2.819 0.871 -2.246
W 0.871 0.940 2.246
W -0.940 1.009 6.738
W 1.009 0.940 11.230
```



Least stable: Q)



P) A geometry-optimized YCo2Pd2 structure, computed with GGA-PBE.

Calculated values
space-group type = P4/mbm

Geometry as extended XYZ:
```
10
Lattice="7.296 0.000 0.000 0.000 7.296 0.000 0.000 0.000 3.000" Properties=species:S:1:pos:R:3 pbc="T T T"
Y 0.000 0.000 0.000
Y 3.648 3.648 0.000
Co 0.817 2.831 0.000
Co 2.831 6.479 0.000
Co 4.465 0.817 0.000
Co 6.479 4.465 0.000
Pd 1.321 4.970 1.500
Pd 2.327 1.321 1.500
Pd 4.970 5.975 1.500
Pd 5.975 2.327 1.500
```



Q) A geometry-optimized YCo2Pd2 structure, computed with GGA-PBE.

Calculated values
space-group type = I4/mmm

Geometry as extended XYZ:
```
5
Lattice="-2.006 2.006 5.214 2.006 -2.006 5.214 2.006 2.006 -5.214" Properties=species:S:1:pos:R:3 pbc="T T T"
Y 0.000 0.000 0.000
Co 0.000 0.000 4.156
Co 0.000 0.000 6.272
Pd 2.006 0.000 2.607
Pd 0.000 2.006 2.607
```



Least stable: P)



P) A geometry-optimized Y2CoPd2 structure, computed with GGA-PBE.

Calculated values
space-group type = P4/mbm

Geometry as extended XYZ:
```
10
Lattice="7.262 0.000 0.000 0.000 7.262 0.000 0.000 0.000 3.909" Properties=species:S:1:pos:R:3 pbc="T T T"
Y 1.269 2.362 0.000
Y 2.362 5.992 0.000
Y 4.900 1.269 0.000
Y 5.992 4.900 0.000
Co 0.000 0.000 1.955
Co 3.631 3.631 1.955
Pd 0.967 4.598 1.955
Pd 2.664 0.967 1.955
Pd 4.598 6.294 1.955
Pd 6.294 2.664 1.955
```



Q) A geometry-optimized Y2CoPd2 structure, computed with GGA-PBE.

Calculated values
space-group type = P4/mbm

Geometry as extended XYZ:
```
10
Lattice="7.596 0.000 0.000 0.000 7.596 0.000 0.000 0.000 3.638" Properties=species:S:1:pos:R:3 pbc="T T T"
Y 1.306 2.492 0.000
Y 2.492 6.290 0.000
Y 5.105 1.306 0.000
Y 6.290 5.105 0.000
Co 0.000 0.000 0.000
Co 3.798 3.798 0.000
Pd 0.989 4.787 1.819
Pd 2.809 0.989 1.819
Pd 4.787 6.607 1.819
Pd 6.607 2.809 1.819
```



Least stable: Q)



P) A geometry-optimized YCoPd2 structure, computed with GGA-PBE.

Calculated values
space-group type = Fm-3m

Geometry as extended XYZ:
```
4
Lattice="0.000 3.269 3.269 3.269 0.000 3.269 3.269 3.269 0.000" Properties=species:S:1:pos:R:3 pbc="T T T"
Y 0.000 0.000 0.000
Co 3.269 3.269 3.269
Pd 1.635 1.635 1.635
Pd 4.904 4.904 4.904
```



Q) A geometry-optimized YCoPd2 structure, computed with GGA-PBE.

Calculated values
space-group type = I-42d

Geometry as extended XYZ:
```
8
Lattice="-2.010 2.010 9.122 2.010 -2.010 9.122 2.010 2.010 -9.122" Properties=species:S:1:pos:R:3 pbc="T T T"
Y 0.000 0.000 0.000
Y 0.000 2.010 4.561
Co 2.010 0.000 4.561
Co 0.000 0.000 9.122
Pd 1.005 -0.882 6.841
Pd 1.128 1.005 2.280
Pd 1.005 2.892 -2.280
Pd 0.882 1.005 11.402
```



Least stable: Q)



P) A geometry-optimized Zn2CoPd8 structure, computed with GGA-PBE.

Calculated values
space-group type = C2/m

Geometry as extended XYZ:
```
11
Lattice="6.901 -1.994 0.000 6.901 1.994 0.000 -1.798 0.000 5.906" Properties=species:S:1:pos:R:3 pbc="T T T"
Zn 2.814 0.000 0.864
Zn 9.189 0.000 5.042
Co 6.002 0.000 2.953
Pd 0.176 0.000 1.372
Pd 0.711 0.000 4.091
Pd 3.394 0.000 3.440
Pd 5.479 0.000 0.265
Pd 6.525 0.000 5.641
Pd 8.609 0.000 2.467
Pd 11.292 0.000 1.816
Pd 11.827 0.000 4.534
```



Q) A geometry-optimized Zn2CoPd8 structure, computed with GGA-PBE.

Calculated values
space-group type = C2/m

Geometry as extended XYZ:
```
11
Lattice="4.888 -4.296 0.000 4.888 4.296 0.000 -1.378 0.000 4.418" Properties=species:S:1:pos:R:3 pbc="T T T"
Zn 1.390 0.000 0.118
Zn 7.008 0.000 4.300
Co -0.689 0.000 2.209
Pd 3.103 2.252 3.106
Pd 1.764 0.000 2.664
Pd 5.295 2.252 1.311
Pd 3.846 0.000 0.882
Pd 4.551 0.000 3.535
Pd 3.103 -2.252 3.106
Pd 6.634 0.000 1.754
Pd 5.295 -2.252 1.311
```



Least stable: Q)